# 1
# CeSnPd2

Crystalline CeSnPd2 at its relaxed geometry (GGA-PBE, Alexandria).

Cell and atoms, written as POSCAR:
```
CeSnPd2
1.0
4.790 0.000 0.000
0.000 4.790 0.000
0.000 0.000 3.643
Ce Sn Pd
1 1 2
Direct
0.000 0.000 0.000
0.500 0.500 0.000
0.000 0.500 0.500
0.500 0.000 0.500
```

SG: P4/mmm (123)
ΔE_f: -2.39 eV per formula unit
final energy: -5.68 eV per atom


# 2
# AcSnPt

Crystalline AcSnPt at its relaxed geometry (GGA-PBE, Alexandria).

Cell and atoms, written as POSCAR:
```
AcSnPt
1.0
7.744 0.000 0.000
0.000 4.562 0.000
-0.015 0.000 13.269
Ac Sn Pt
6 6 6
Direct
0.011 0.250 0.125
0.144 0.250 0.417
0.482 0.750 0.798
0.518 0.250 0.202
0.856 0.750 0.583
0.989 0.750 0.875
0.152 0.250 0.701
0.334 0.750 0.045
0.480 0.750 0.409
0.520 0.250 0.591
0.666 0.250 0.955
0.848 0.750 0.299
0.221 0.750 0.251
0.280 0.250 0.930
0.283 0.750 0.590
0.717 0.250 0.410
0.720 0.750 0.070
0.779 0.250 0.749
```

SG: P2_1/m (11)
ΔE_f: -2.85 eV per formula unit
final energy: -5.67 eV per atom
E above lowest polymorph: 19 meV/atom


# 3
# Sc2MnAu

Crystalline Sc2MnAu at its relaxed geometry (GGA-PBE, Alexandria).

Cell and atoms, written as POSCAR:
```
Sc2MnAu
1.0
4.679 0.000 0.000
0.000 4.679 0.000
0.000 0.000 3.439
Sc Mn Au
2 1 1
Direct
0.000 0.500 0.000
0.500 0.000 0.000
0.000 0.000 0.500
0.500 0.500 0.500
```

SG: P4/mmm (123)
ΔE_f: -1.34 eV per formula unit
final energy: -6.61 eV per atom


# 4
# KMn2In

Crystalline KMn2In at its relaxed geometry (GGA-PBE, Alexandria).

Cell and atoms, written as POSCAR:
```
KMn2In
1.0
1.621 0.936 10.662
-1.621 0.936 10.662
0.000 -1.872 10.662
K Mn In
1 2 1
Direct
0.000 0.000 0.000
0.237 0.237 0.237
0.763 0.763 0.763
0.500 0.500 0.500
```

SG: R-3m (166)
ΔE_f: 3.09 eV per formula unit
final energy: -4.77 eV per atom


# 5
# Li3Ac3PaSe8

Crystalline Li3Ac3PaSe8 at its relaxed geometry (GGA-PBE, Alexandria).

Cell and atoms, written as POSCAR:
```
Li3Ac3PaSe8
1.0
4.436 2.561 6.459
-4.436 2.561 6.459
0.000 -5.122 6.459
Li Ac Pa Se
3 3 1 8
Direct
0.000 0.500 0.500
0.500 0.000 0.500
0.500 0.500 0.000
0.000 0.000 0.500
0.000 0.500 0.000
0.500 0.000 0.000
0.500 0.500 0.500
0.255 0.255 0.255
0.261 0.261 0.724
0.261 0.724 0.261
0.276 0.739 0.739
0.724 0.261 0.261
0.739 0.276 0.739
0.739 0.739 0.276
0.745 0.745 0.745
```

SG: R-3m (166)
final energy: -5.32 eV per atom
formation energy (no corrections): -1621 meV/atom


# 6
# Rb2LiHf3O8

Crystalline Rb2LiHf3O8 at its relaxed geometry (GGA-PBE, Alexandria).

Cell and atoms, written as POSCAR:
```
Rb2LiHf3O8
1.0
3.225 1.862 6.874
-3.225 1.862 6.874
0.000 -3.724 6.874
Rb Li Hf O
2 1 3 8
Direct
0.000 0.000 0.000
0.362 0.362 0.362
0.815 0.815 0.815
0.359 0.359 0.858
0.359 0.858 0.359
0.858 0.359 0.359
0.099 0.099 0.540
0.099 0.540 0.099
0.139 0.139 0.139
0.159 0.633 0.633
0.540 0.099 0.099
0.576 0.576 0.576
0.633 0.159 0.633
0.633 0.633 0.159
```

SG: R3m (160)
final energy: -7.98 eV per atom
formation energy (no corrections): -2736 meV/atom


# 7
# Li2In3Sn4

Crystalline Li2In3Sn4 at its relaxed geometry (GGA-PBE, Alexandria).

Cell and atoms, written as POSCAR:
```
Li2In3Sn4
1.0
5.120 -2.219 0.000
5.120 2.219 0.000
-2.961 0.000 9.893
Li In Sn
2 3 4
Direct
0.159 0.159 0.214
0.841 0.841 0.786
0.174 0.174 0.561
0.500 0.500 0.000
0.826 0.826 0.439
0.169 0.169 0.882
0.490 0.490 0.324
0.510 0.510 0.676
0.831 0.831 0.118
```

SG: C2/m (12)
ΔE_f: -1.00 eV per formula unit
final energy: -3.23 eV per atom


# 8
# Nb2HgPtAu

Crystalline Nb2HgPtAu at its relaxed geometry (GGA-PBE, Alexandria).

Cell and atoms, written as POSCAR:
```
Nb2HgPtAu
1.0
4.898 0.000 0.000
0.000 4.898 0.000
0.000 0.000 5.049
Nb Hg Pt Au
2 1 1 1
Direct
0.000 0.500 0.000
0.500 0.000 0.000
0.000 0.000 0.500
0.500 0.500 0.000
0.500 0.500 0.500
```

SG: P4/mmm (123)
ΔE_f: 4.54 eV per formula unit
final energy: -5.04 eV per atom


# 9
# LaGdHoTl

Crystalline LaGdHoTl at its relaxed geometry (GGA-PBE, Alexandria).

Cell and atoms, written as POSCAR:
```
LaGdHoTl
1.0
0.000 3.942 3.942
3.942 0.000 3.942
3.942 3.942 0.000
La Gd Ho Tl
1 1 1 1
Direct
0.000 0.000 0.000
0.500 0.500 0.500
0.250 0.250 0.250
0.750 0.750 0.750
```

SG: F-43m (216)
ΔE_f: -0.38 eV per formula unit
final energy: -6.58 eV per atom


# 10
# Y2ReP

Crystalline Y2ReP at its relaxed geometry (GGA-PBE, Alexandria).

Cell and atoms, written as POSCAR:
```
Y2ReP
1.0
3.952 0.000 0.000
0.000 2.068 5.308
0.000 -2.068 5.308
Y Re P
2 1 1
Direct
0.000 0.000 0.000
0.500 0.281 0.281
0.500 0.569 0.569
0.000 0.704 0.704
```

SG: Amm2 (38)
ΔE_f: -2.19 eV per formula unit
final energy: -8.24 eV per atom


# 11
# Zn9Co2Cu

Crystalline Zn9Co2Cu at its relaxed geometry (GGA-PBE, Alexandria).

Cell and atoms, written as POSCAR:
```
Zn9Co2Cu
1.0
3.750 0.000 0.000
0.000 3.750 0.000
0.000 0.000 11.340
Zn Co Cu
9 2 1
Direct
0.000 0.000 0.000
0.000 0.000 0.335
0.000 0.000 0.665
0.000 0.500 0.173
0.000 0.500 0.500
0.000 0.500 0.827
0.500 0.000 0.173
0.500 0.000 0.500
0.500 0.000 0.827
0.500 0.500 0.340
0.500 0.500 0.660
0.500 0.500 0.000
```

SG: P4/mmm (123)
ΔE_f: -0.54 eV per formula unit
final energy: -2.53 eV per atom


# 12
# NaCePtAu

Crystalline NaCePtAu at its relaxed geometry (GGA-PBE, Alexandria).

Cell and atoms, written as POSCAR:
```
NaCePtAu
1.0
0.000 3.528 3.528
3.528 0.000 3.528
3.528 3.528 0.000
Na Ce Pt Au
1 1 1 1
Direct
0.000 0.000 0.000
0.500 0.500 0.500
0.250 0.250 0.250
0.750 0.750 0.750
```

SG: F-43m (216)
ΔE_f: -2.29 eV per formula unit
final energy: -4.71 eV per atom